Here is crystalline CaSeBr2N at its relaxed geometry from Alexandria via LeMat-Bulk. Energies are from PBE.

```
CaSeBr2N
1.0
5.6920 0.0000 0.0000
0.0000 5.6920 0.0000
0.0000 0.0000 5.9777
Ca Se Br N
1 1 2 1
direct
0.0000 0.0000 0.0000
0.0000 0.0000 0.5000
0.0000 0.5000 0.0000
0.5000 0.0000 0.0000
0.5000 0.5000 0.5000
```

## Properties
- Space group: P4/mmm
- ΔE_f (raw): 1.8 eV per formula unit
- Fermi-level density of states: 1.948 states/eV/f.u.

=====

Here is crystalline PaTc2Pb at its relaxed geometry from Alexandria via LeMat-Bulk. Energies are from PBE.

```
PaTc2Pb
1.0
-0.7523 2.7630 3.8408
-2.0852 -1.8382 3.9019
2.5653 -0.6902 3.9869
Pb Pa Tc
1 1 2
direct
0.0000 0.0000 0.0000
0.5000 0.5000 0.5000
0.2500 0.2500 0.2500
0.7500 0.7500 0.7500
```

## Properties
- Space group: Fm-3m
- Fermi-level density of states: 5.815 states/eV/f.u.

=====

Number 1: energy above the most stable polymorph in this dataset 367 meV per atom, total moment 5.0 μB/f.u.. Number 2: energy above the most stable polymorph in this dataset 66 meV per atom, total moment 0.0 μB/f.u..